This record from the Alexandria database describes Sc2As at its PBEsol-relaxed geometry. The functional is meta-GGA SCAN.

Properties
Size of the total moment, μB/atom: 0.00
E_form, eV per atom: -0.988

Cell lengths 3.664, 5.514, 6.820 Å; angles 113.85, 105.58, 90.00 degrees
Element x y z (fractional)
As (0.358, 0.858, 0.715)
Sc (0.000, 0.757, 0.000)
As (0.642, 0.142, 0.285)
Sc (0.695, 0.695, 0.391)
Sc (0.000, 0.243, 0.000)
Sc (0.305, 0.305, 0.609)

This record from the Alexandria database describes Mn2NiRh at its PBEsol-relaxed geometry. The functional is meta-GGA SCAN.

Properties
Size of the total moment, μB/atom: 2.27
E_form, eV per atom: -0.468

Cell lengths 2.986, 4.129, 4.129 Å; angles 90.00, 90.00, 90.00 degrees
Each line ends with the local moment (μB).
Element x y z (fractional)
Rh (0.500, 0.000, 0.000)  0.55
Mn (0.000, 0.500, 0.000)  3.79
Mn (0.000, 0.000, 0.500)  3.79
Ni (0.500, 0.500, 0.500)  1.00

This record from the Alexandria database describes CaScAl2 at its PBEsol-relaxed geometry. The functional is meta-GGA SCAN.

Properties
Size of the total moment, μB/atom: 0.00
Energy above the lowest structure with this stoichiometry, meV per atom: 264
E_form, eV per atom: -0.062

Cell lengths 3.329, 3.329, 9.702 Å; angles 80.12, 80.12, 60.00 degrees
Element x y z (fractional)
Ca (0.500, 0.500, 0.500)
Al (0.255, 0.255, 0.236)
Sc (0.000, 0.000, 0.000)
Al (0.745, 0.745, 0.764)

> Among the records above, which one has the highest size of the total moment?

Mn2NiRh